1.
Below is an optimized crystal structure of Sc2Zn15Ir2, with properties calculated at the PBE level.

a b c (Å): 6.7026 6.7026 6.7026
angles (deg): 83.17 83.17 83.17
Closest atoms and distances in Å follow each position.
Atoms (fractional coordinates):
1 Sc 0.1797 0.1797 0.1797  1 Ir 2.69
2 Sc 0.8203 0.8203 0.8203  1 Ir 2.69
3 Zn 0.0000 0.5000 0.5000  8 Zn 2.53-2.61, 2 Ir 2.66
4 Zn 0.1415 0.1415 0.6518  8 Zn 2.58-2.78, 1 Ir 2.80
5 Zn 0.1415 0.6518 0.1415  8 Zn 2.58-2.78, 1 Ir 2.80
6 Zn 0.2141 0.5000 0.7859  8 Zn 2.53-2.78
7 Zn 0.2141 0.7859 0.5000  8 Zn 2.53-2.78
8 Zn 0.3482 0.8585 0.8585  8 Zn 2.58-2.78, 1 Ir 2.80
9 Zn 0.5000 0.0000 0.5000  8 Zn 2.53-2.61, 2 Ir 2.66
10 Zn 0.5000 0.2141 0.7859  8 Zn 2.53-2.78
11 Zn 0.5000 0.5000 0.0000  8 Zn 2.53-2.61, 2 Ir 2.66
12 Zn 0.5000 0.7859 0.2141  8 Zn 2.53-2.78
13 Zn 0.6518 0.1415 0.1415  8 Zn 2.58-2.78, 1 Ir 2.80
14 Zn 0.7859 0.2141 0.5000  8 Zn 2.53-2.78
15 Zn 0.7859 0.5000 0.2141  8 Zn 2.53-2.78
16 Zn 0.8585 0.3482 0.8585  8 Zn 2.58-2.78, 1 Ir 2.80
17 Zn 0.8585 0.8585 0.3482  8 Zn 2.58-2.78, 1 Ir 2.80
18 Ir 0.3876 0.3876 0.3876  12 Zn 2.66-2.93, 1 Sc 2.69, 1 Ir 2.90
19 Ir 0.6124 0.6124 0.6124  12 Zn 2.66-2.93, 1 Sc 2.69, 1 Ir 2.90

Energy of formation = -0.20 eV/atom
Space group = R-3m
M_tot = 0.000 μB per formula unit
DFT total energy = -2.806 eV per atom

***

2.
Below is an optimized crystal structure of Sc5Zn4Ir, with properties calculated at the PBE level.

a b c (Å): 3.3305 3.3305 16.6027
angles (deg): 90.00 90.00 90.00
Closest atoms and distances in Å follow each position.
Atoms (fractional coordinates):
1 Sc 0.0000 0.0000 0.0000  8 Zn 2.89
2 Sc 0.0000 0.0000 0.2031  8 Zn 2.88-2.90
3 Sc 0.0000 0.0000 0.4076  4 Ir 2.81, 4 Zn 2.92, 1 Sc 3.07
4 Sc 0.0000 0.0000 0.5924  4 Ir 2.81, 4 Zn 2.92, 1 Sc 3.07
5 Sc 0.0000 0.0000 0.7969  8 Zn 2.88-2.90
6 Zn 0.5000 0.5000 0.1012  8 Sc 2.89-2.90
7 Zn 0.5000 0.5000 0.3033  8 Sc 2.88-2.92
8 Zn 0.5000 0.5000 0.6967  8 Sc 2.88-2.92
9 Zn 0.5000 0.5000 0.8988  8 Sc 2.89-2.90
10 Ir 0.5000 0.5000 0.5000  8 Sc 2.81

Energy of formation = -0.51 eV/atom
Space group = P4/mmm
M_tot = 0.000 μB per formula unit
DFT total energy = -5.071 eV per atom